# Li2NdZnPd4

Crystalline Li2NdZnPd4 at its relaxed geometry (PBE-GGA, Alexandria).

Cell lengths 4.3571, 4.3571, 8.5387 Å; angles 75.22, 75.22, 60.00 degrees
Fractional coordinates of all 8 atoms:
1 Li 0.7640 0.7640 0.7080
2 Li 0.2360 0.2360 0.2920
3 Nd 0.0000 0.0000 0.0000
4 Zn 0.5000 0.5000 0.5000
5 Pd 0.3966 0.3966 0.8103
6 Pd 0.8716 0.8716 0.3852
7 Pd 0.1284 0.1284 0.6148
8 Pd 0.6034 0.6034 0.1897

## Properties
DOS(E_F) ... 3.54 states/eV/f.u.
Energy ... -4.39 eV/atom
Space group ... No. 166
E_form ... -4.48 eV/f.u.

# Na3TaIn3Se8

Crystalline Na3TaIn3Se8 at its relaxed geometry (PBE-GGA, Alexandria).

Cell lengths 7.9960, 8.0059, 8.4825 Å; angles 118.17, 90.00, 119.96 degrees
Fractional coordinates of all 15 atoms:
1 Na 0.0000 0.0000 0.0000
2 Na 0.0000 0.5000 0.0000
3 Na 0.5000 0.5000 0.0000
4 Ta 0.0000 0.0000 0.5000
5 In 0.5000 0.0000 0.5000
6 In 0.5000 0.5000 0.5000
7 In 0.0000 0.5000 0.5000
8 Se 0.2581 0.5163 0.2780
9 Se 0.7419 0.4837 0.7220
10 Se 0.7738 0.5476 0.2878
11 Se 0.2262 0.4524 0.7122
12 Se 0.7734 0.0141 0.2882
13 Se 0.2266 0.9859 0.7118
14 Se 0.2408 0.0141 0.2882
15 Se 0.7592 0.9859 0.7118

## Properties
DOS(E_F) ... 4.63 states/eV/f.u.
Energy ... -4.22 eV/atom
Space group ... No. 12
Formation energy without anion corrections ... -0.7589 eV per atom

# LaCdIr

Crystalline LaCdIr at its relaxed geometry (PBE-GGA, Alexandria).

Cell lengths 4.8204, 4.8204, 4.8204 Å; angles 60.00, 60.00, 60.00 degrees
Fractional coordinates of all 3 atoms:
1 Cd 0.5000 0.5000 0.5000
2 Ir 0.2500 0.2500 0.2500
3 La 0.0000 0.0000 0.0000

## Properties
DOS(E_F) ... 0.72 states/eV/f.u.
Energy ... -5.31 eV/atom
Space group ... No. 216
E_form ... -1.22 eV/f.u.

# K2PmGe2O6

Crystalline K2PmGe2O6 at its relaxed geometry (PBE-GGA, Alexandria).

Cell lengths 6.1492, 6.0743, 7.0528 Å; angles 116.86, 90.00, 120.41 degrees
Last column: magnetic moment on the atom in μB.
Fractional coordinates of all 11 atoms:
1 K 0.7054 0.4109 0.1690  0.00
2 K 0.2946 0.5891 0.8310  0.00
3 Pm 0.5000 0.0000 0.5000  0.03
4 Ge 0.9521 0.9043 0.7861  0.10
5 Ge 0.0479 0.0957 0.2139  0.10
6 O 0.7572 0.5143 0.6414  0.08
7 O 0.2029 0.9275 0.2332  0.08
8 O 0.2753 0.0725 0.7668  0.08
9 O 0.7971 0.0725 0.7668  0.08
10 O 0.7247 0.9275 0.2332  0.08
11 O 0.2428 0.4857 0.3586  0.08

## Properties
DOS(E_F) ... 1.61 states/eV/f.u.
Energy ... -6.18 eV/atom
Space group ... No. 12
Formation energy without anion corrections ... -2.0035 eV per atom